PBE-GGA Ba2TlIr, relaxed; ΔE_f = -0.14 eV/atom; M_tot = 0.00 μB/cell
1.0
4.7873 0.0000 0.0000
0.0000 4.8143 -0.0060
0.0000 2.4069 6.1580
Tl Ir Ba
1 1 2
Cartesian
2.3937 4.5139 4.5845 Tl
0.0000 4.5144 3.1626 Ir
2.3937 2.1032 2.1000 Ba
0.0000 6.9216 5.5330 Ba

=====

PBE-GGA BaTlIr, relaxed; ΔE_f = 0.76 eV/atom; M_tot = 0.10 μB/cell
1.0
5.2364 0.0000 0.0000
2.6182 4.5349 0.0000
2.6182 1.5116 4.2755
Ba Tl Ir
1 1 1
Cartesian
7.8546 4.5349 3.2066 Ba
5.2364 3.0233 2.1378 Tl
0.0000 0.0000 0.0000 Ir

=====

PBE-GGA Ba8TlIr2, relaxed; ΔE_f = 0.02 eV/atom; M_tot = 0.00 μB/cell
1.0
6.4854 0.0002 0.0001
-0.0009 9.0354 -5.2152
0.0009 -0.0035 10.4304
Ba Ir Tl
8 2 1
Cartesian
4.8226 7.4780 2.4989 Ba
4.8223 7.4599 -2.5105 Ba
4.8227 3.1299 0.0129 Ba
1.6627 5.9022 5.2024 Ba
1.6631 1.5723 7.7258 Ba
4.8811 3.0098 5.2158 Ba
1.6628 1.5541 2.7164 Ba
1.6044 6.0223 -0.0008 Ba
4.9327 6.0223 -0.0008 Ir
1.5528 3.0098 5.2156 Ir
0.0009 -0.0035 10.4304 Tl

=====

PBE-GGA BaTl2Ir, relaxed; ΔE_f = 0.18 eV/atom; M_tot = 0.00 μB/cell
1.0
-0.9310 -0.1336 -5.6900
5.4424 -1.7081 -0.8504
-0.2721 -9.2786 -2.6604
Ba Tl Ir
2 4 2
Cartesian
2.2557 -0.9208 -3.2702 Ba
3.7130 -5.9538 -3.3905 Ba
0.5561 -7.3572 -4.3024 Tl
-0.7674 -7.1547 -7.0133 Tl
-0.1290 -2.6395 -5.3016 Tl
2.4455 -3.5146 -6.6239 Tl
0.0000 0.0000 0.0000 Ir
0.5263 -5.1665 -5.8103 Ir

=====

PBE-GGA Ba2TlIr, relaxed; ΔE_f = 0.17 eV/atom; M_tot = 0.00 μB/cell
1.0
5.4763 0.0000 0.0000
2.7381 4.7426 0.0000
2.7381 1.5809 4.4714
Ir Tl Ba
1 1 2
Cartesian
5.4763 3.1617 2.2357 Ir
8.2144 4.7426 3.3535 Tl
2.7381 1.5809 1.1178 Ba
0.0000 0.0000 0.0000 Ba

=====

PBE-GGA BaTl2Ir, relaxed; ΔE_f = 0.18 eV/atom; M_tot = 0.00 μB/cell
1.0
-5.6191 1.4827 -0.6709
-2.8504 -4.2922 2.7703
4.0166 3.9759 1.5108
Ir Tl Ba
1 2 1
Cartesian
-1.2371 -0.7620 2.5917 Ir
-3.0831 1.9724 0.9855 Tl
-0.3559 -0.1181 0.0882 Tl
-4.0117 -1.3308 0.9944 Ba

=====

> The lowest ΔE_f belongs to which entry?

number 1

=====

> Look up the M_tot of the fifth one.

0.00 μB/cell

=====

> Which of these has the highest ΔE_f?

BaTlIr